Record 1
A plane-wave DFT calculation with PBE-GGA was carried out for RbSnC3 after structural relaxation.

Properties
M_tot   0.7 μB/cell
E_form   1266 kJ/mol of formula units
SG   No. 221
Offset from the most stable computed form   0 meV/atom
Calculated volume   91.8 Å³ per cell

abc: 4.5113 4.5113 4.5113
angles: 90.00 90.00 90.00
Closest atoms and distances in Å follow each position.
Fractional coordinates of all 5 atoms:
Sn  0.0000  0.0000  0.0000  6 C 2.26
C  0.5000  0.0000  0.0000  2 Sn 2.26
C  0.0000  0.0000  0.5000  2 Sn 2.26
C  0.0000  0.5000  0.0000  2 Sn 2.26
Rb  0.5000  0.5000  0.5000  12 C 3.19

=====

Record 2
A plane-wave DFT calculation with PBE-GGA was carried out for PuInSi2Au6 after structural relaxation.

Properties
M_tot   5.9 μB/cell
SG   No. 148
Energy relative to the elements, uncorrected   44.0 kJ/mol of formula units
Calculated volume   244.8 Å³ per cell

abc: 5.9047 5.9047 8.7958
angles: 70.39 70.39 60.00
Closest atoms and distances in Å follow each position.
Fractional coordinates of all 10 atoms:
Au  0.5302  0.6281  0.7732  2 Si 2.52-2.53
Au  0.4698  0.3719  0.2268  2 Si 2.52-2.53
Au  0.9315  0.4698  0.2268  2 Si 2.52-2.53
Au  0.3719  0.9315  0.2268  2 Si 2.52-2.53
Au  0.6281  0.0685  0.7732  2 Si 2.52-2.53
Au  0.0685  0.5302  0.7732  2 Si 2.52-2.53
In  0.5000  0.5000  0.5000  6 Au 2.83
Si  0.6651  0.6651  0.0048  6 Au 2.52-2.53
Si  0.3349  0.3349  0.9952  6 Au 2.52-2.53
Pu  0.0000  0.0000  0.0000  6 Au 3.24, 6 Si 3.41

=====

Record 3
A plane-wave DFT calculation with PBE-GGA was carried out for BaTm2Al after structural relaxation.

Properties
M_tot   0.2 μB/cell
E_form   56 kJ/mol of formula units
SG   No. 166
Offset from the most stable computed form   203 meV/atom
Calculated volume   129.4 Å³ per cell

abc: 3.5818 3.5818 11.8275
angles: 81.29 81.29 60.00
Closest atoms and distances in Å follow each position.
Fractional coordinates of all 4 atoms:
Tm  0.8957  0.8957  0.3130  3 Al 3.00
Tm  0.1043  0.1043  0.6870  3 Al 3.00
Ba  0.0000  0.0000  0.0000  6 Ba 3.58, 2 Tm 3.65
Al  0.5000  0.5000  0.5000  6 Tm 3.00

=====

Record 4
A plane-wave DFT calculation with PBE-GGA was carried out for Tc2RhBr after structural relaxation.

Properties
M_tot   0.0 μB/cell
SG   No. 47
Offset from the most stable computed form   119 meV/atom
Energy relative to the elements, uncorrected   207.6 kJ/mol of formula units
Calculated volume   70.2 Å³ per cell

abc: 3.6956 2.9124 6.5246
angles: 89.98 90.00 90.00
Closest atoms and distances in Å follow each position.
Fractional coordinates of all 4 atoms:
Rh  0.5000  0.7500  0.7500  8 Tc 2.65, 2 Rh 2.91
Tc  0.0000  0.2501  0.5622  1 Tc 2.45, 4 Rh 2.65
Tc  0.0000  0.2499  0.9378  1 Tc 2.45, 4 Rh 2.65
Br  0.5000  0.2500  0.2500  4 Tc 2.75, 2 Br 2.91

=====

Record 5
A plane-wave DFT calculation with PBE-GGA was carried out for Rb3Nd3NbS8 after structural relaxation.

Properties
M_tot   1.0 μB/cell
SG   No. 166
Energy relative to the elements, uncorrected   -2312.6 kJ/mol of formula units
Calculated volume   451.5 Å³ per cell

abc: 8.1438 8.1438 9.1626
angles: 116.41 90.00 120.00
Closest atoms and distances in Å follow each position.
Fractional coordinates of all 15 atoms:
S  0.7880  0.5759  0.3166  1 Nb 2.57, 2 Nd 2.86
S  0.2404  0.0284  0.3167  1 Nb 2.57, 2 Nd 2.86
S  0.7333  0.4667  0.6998  3 Nd 2.83
S  0.2120  0.9716  0.6833  1 Nb 2.57, 2 Nd 2.86
S  0.7596  0.9716  0.6833  1 Nb 2.57, 2 Nd 2.86
S  0.7880  0.0284  0.3167  1 Nb 2.57, 2 Nd 2.86
S  0.2667  0.5333  0.3002  3 Nd 2.83
S  0.2120  0.4241  0.6834  1 Nb 2.57, 2 Nd 2.86
Nd  0.0000  0.5000  0.5000  6 S 2.83-2.86
Nd  0.5000  0.5000  0.5000  6 S 2.83-2.86
Nd  0.5000  0.0000  0.5000  6 S 2.83-2.86
Rb  0.0000  0.0000  0.0000  6 S 3.33-3.35
Rb  0.0000  0.5000  0.0000  6 S 3.33-3.35
Rb  0.5000  0.5000  0.0000  6 S 3.33-3.35
Nb  0.0000  0.0000  0.5000  6 S 2.57

=====

Record 6
A plane-wave DFT calculation with PBE-GGA was carried out for HfRu3Pt after structural relaxation.

Properties
M_tot   3.8 μB/cell
E_form   810 kJ/mol of formula units
SG   No. 221
Offset from the most stable computed form   196 meV/atom
Calculated volume   102.8 Å³ per cell

abc: 4.6840 4.6840 4.6840
angles: 90.00 90.00 90.00
Closest atoms and distances in Å follow each position.
Fractional coordinates of all 5 atoms:
Ru  0.0000  0.0000  0.5000  2 Hf 2.34
Ru  0.5000  0.0000  0.0000  2 Hf 2.34
Ru  0.0000  0.5000  0.0000  2 Hf 2.34
Hf  0.0000  0.0000  0.0000  6 Ru 2.34
Pt  0.5000  0.5000  0.5000  12 Ru 3.31

=====

Record 7
A plane-wave DFT calculation with PBE-GGA was carried out for Pr5Nd3Ru2 after structural relaxation.

Properties
M_tot   0.0 μB/cell
E_form   -40 kJ/mol of formula units
SG   No. 72
Calculated volume   671.2 Å³ per cell

abc: 8.2281 10.2193 10.2193
angles: 62.25 66.26 66.26
Closest atoms and distances in Å follow each position.
Fractional coordinates of all 20 atoms:
Nd  0.8730  0.8663  0.3877  1 Ru 2.75
Nd  0.1270  0.1337  0.6123  1 Ru 2.75
Nd  0.3730  0.3877  0.8663  1 Ru 2.75
Nd  0.2500  0.0000  0.0000  4 Ru 2.89
Nd  0.6270  0.6123  0.1337  1 Ru 2.75
Nd  0.7500  0.0000  0.0000  4 Ru 2.89
Pr  0.8791  0.3819  0.8600  1 Ru 2.77
Pr  0.6209  0.1400  0.6181  1 Ru 2.77
Pr  0.1209  0.6181  0.1400  1 Ru 2.77
Pr  0.7500  0.5000  0.5000  8 Pr 3.75-4.11, 4 Nd 3.80
Pr  0.0033  0.7467  0.7467  2 Ru 2.79
Pr  0.9967  0.2533  0.2533  2 Ru 2.79
Pr  0.3791  0.8600  0.3819  1 Ru 2.77
Pr  0.2500  0.5000  0.5000  8 Pr 3.75-4.11, 4 Nd 3.80
Pr  0.4967  0.2533  0.2533  2 Ru 2.79
Pr  0.5033  0.7467  0.7467  2 Ru 2.79
Ru  0.8689  0.1306  0.1316  3 Nd 2.75-2.89, 3 Pr 2.77-2.79
Ru  0.3689  0.1316  0.1306  3 Nd 2.75-2.89, 3 Pr 2.77-2.79
Ru  0.6311  0.8684  0.8694  3 Nd 2.75-2.89, 3 Pr 2.77-2.79
Ru  0.1311  0.8694  0.8684  3 Nd 2.75-2.89, 3 Pr 2.77-2.79

=====

Record 8
A plane-wave DFT calculation with PBE-GGA was carried out for TbPmTm4Sc2 after structural relaxation.

Properties
M_tot   5.6 μB/cell
E_form   342 kJ/mol of formula units
SG   No. 15
Calculated volume   490.5 Å³ per cell

abc: 9.2508 9.2508 11.4608
angles: 128.28 128.28 88.64
Closest atoms and distances in Å follow each position.
Fractional coordinates of all 16 atoms:
Tm  0.2599  0.2383  0.5111  3 Sc 3.09-3.20, 2 Tm 3.32, 1 Pm 3.37, 2 Tb 3.43
Tm  0.2672  0.7464  0.0067  3 Sc 3.10-3.29, 2 Tm 3.22-3.40, 2 Pm 3.33-3.34, 1 Tb 3.37
Tm  0.7328  0.2536  0.9933  3 Sc 3.10-3.29, 2 Tm 3.22-3.40, 2 Pm 3.33-3.34, 1 Tb 3.37
Tm  0.7383  0.7599  0.0111  3 Sc 3.09-3.20, 2 Tm 3.32, 1 Pm 3.37, 2 Tb 3.43
Tm  0.7401  0.7617  0.4889  3 Sc 3.09-3.20, 2 Tm 3.32, 1 Pm 3.37, 2 Tb 3.43
Tm  0.7536  0.2328  0.4933  3 Sc 3.10-3.29, 2 Tm 3.22-3.40, 2 Pm 3.33-3.34, 1 Tb 3.37
Tm  0.2464  0.7672  0.5067  3 Sc 3.10-3.29, 2 Tm 3.22-3.40, 2 Pm 3.33-3.34, 1 Tb 3.37
Tm  0.2617  0.2401  0.9889  3 Sc 3.09-3.20, 2 Tm 3.32, 1 Pm 3.37, 2 Tb 3.43
Sc  0.5000  0.0000  0.5000  6 Tm 3.09-3.29, 2 Pm 3.31
Sc  0.5000  0.0000  0.0000  6 Tm 3.09-3.29, 2 Pm 3.31
Sc  0.0000  0.0000  0.5000  6 Tm 3.10-3.20, 2 Sc 3.31
Sc  0.5000  0.5000  0.0000  6 Tm 3.10-3.20, 2 Sc 3.31
Pm  0.0000  0.5000  0.5000  2 Sc 3.31, 6 Tm 3.33-3.37
Pm  0.0000  0.5000  0.0000  2 Sc 3.31, 6 Tm 3.33-3.37
Tb  0.5000  0.5000  0.5000  2 Tb 3.31, 6 Tm 3.37-3.43
Tb  0.0000  0.0000  0.0000  2 Tb 3.31, 6 Tm 3.37-3.43

=====

Record 9
A plane-wave DFT calculation with PBE-GGA was carried out for SiP2Pd after structural relaxation.

Properties
M_tot   0.0 μB/cell
SG   No. 122
Energy relative to the elements, uncorrected   -77.8 kJ/mol of formula units
Calculated volume   151.2 Å³ per cell

abc: 5.4739 5.4739 6.3591
angles: 64.51 64.51 90.00
Closest atoms and distances in Å follow each position.
Fractional coordinates of all 8 atoms:
Si  0.5000  0.5000  0.0000  4 P 2.28
Si  0.2500  0.7500  0.5000  4 P 2.28
P  0.3750  0.3857  0.7500  2 Si 2.28, 2 Pd 2.35
P  0.1357  0.6250  0.2500  2 Si 2.28, 2 Pd 2.35
P  0.8750  0.8643  0.7500  2 Si 2.28, 2 Pd 2.35
P  0.6143  0.1250  0.2500  2 Si 2.28, 2 Pd 2.35
Pd  0.0000  0.0000  0.0000  4 P 2.35
Pd  0.7500  0.2500  0.5000  4 P 2.35

=====

Record 10
A plane-wave DFT calculation with PBE-GGA was carried out for ScCoSi2 after structural relaxation.

Properties
M_tot   0.0 μB/cell
SG   No. 71
Energy relative to the elements, uncorrected   -117.3 kJ/mol of formula units
Calculated volume   58.7 Å³ per cell

abc: 5.1709 5.1709 5.1709
angles: 149.21 122.94 66.25
Closest atoms and distances in Å follow each position.
Fractional coordinates of all 4 atoms:
Si  0.9647  0.9647  0.0000  2 Co 2.31
Si  0.5353  0.5353  0.0000  2 Co 2.31
Co  0.7500  0.2500  0.5000  4 Si 2.31
Sc  0.2500  0.7500  0.5000  2 Sc 2.75, 4 Co 2.83, 4 Si 2.83

=====

Record 11
A plane-wave DFT calculation with PBE-GGA was carried out for KEr2IrO8 after structural relaxation.

Properties
M_tot   0.5 μB/cell
SG   No. 2
Energy relative to the elements, uncorrected   -2100.6 kJ/mol of formula units
Calculated volume   148.0 Å³ per cell

abc: 5.2923 4.0586 7.1274
angles: 75.18 89.43 89.19
Closest atoms and distances in Å follow each position.
Fractional coordinates of all 12 atoms:
O  0.5065  0.8189  0.4968  1 O 1.48
O  0.6790  0.8123  0.9171  1 Ir 2.03
O  0.2181  0.7972  0.8543  1 Ir 1.86
O  0.9448  0.3603  0.7683  1 Ir 1.93
O  0.0552  0.6397  0.2317  1 Ir 1.93
O  0.3210  0.1877  0.0829  1 Ir 2.03
O  0.4935  0.1811  0.5032  1 O 1.48
O  0.7819  0.2028  0.1457  1 Ir 1.86
K  0.0000  0.0000  0.5000  10 O 2.70-2.82
Ir  0.0000  0.0000  0.0000  6 O 1.86-2.03
Er  0.5169  0.3821  0.7866  7 O 2.27-2.43
Er  0.4831  0.6179  0.2134  7 O 2.27-2.43

=====

Record 12
A plane-wave DFT calculation with PBE-GGA was carried out for Tb7Pb3C2 after structural relaxation.

Properties
M_tot   0.0 μB/cell
E_form   -589 kJ/mol of formula units
SG   No. 65
Calculated volume   302.8 Å³ per cell

abc: 4.8684 4.9693 12.7588
angles: 101.23 90.00 90.00
Closest atoms and distances in Å follow each position.
Fractional coordinates of all 12 atoms:
Pb  0.5000  0.3096  0.6192  10 Tb 3.31-3.70
Pb  0.5000  0.5000  0.0000  12 Tb 3.47-3.50
Pb  0.5000  0.6904  0.3808  10 Tb 3.31-3.70
C  0.0000  0.8997  0.7995  6 Tb 2.44-2.51
C  0.0000  0.1003  0.2005  6 Tb 2.44-2.51
Tb  0.0000  0.6006  0.2012  2 C 2.48
Tb  0.5000  0.0969  0.1938  2 C 2.44
Tb  0.0000  0.1981  0.3962  1 C 2.45
Tb  0.0000  0.0000  0.0000  2 C 2.51
Tb  0.0000  0.8019  0.6038  1 C 2.45
Tb  0.0000  0.3994  0.7988  2 C 2.48
Tb  0.5000  0.9031  0.8062  2 C 2.44

=====

> Look up the M_tot of the twelfth one.

0.0 μB/cell

=====

> What is the formula in the fourth record?

Tc2RhBr

=====

> What is the M_tot in the seventh record?

0.0 μB/cell